# PBE with a Hubbard U LiMn2F7, relaxed
# Density of states at the Fermi level: 0.00 states/eV/cell
# M_tot: 8.0 μB/f.u.
# E above lowest polymorph: 0.042 eV/atom
data_LiMn2F7
_space_group_name_H-M_alt 'P 1'
_space_group_IT_number 1
_cell_length_a 4.932
_cell_length_b 3.186
_cell_length_c 10.317
_cell_angle_alpha 81.67
_cell_angle_beta 58.40
_cell_angle_gamma 76.17
loop_
_space_group_symop_operation_xyz
'x,y,z'
loop_
_atom_site_label
_atom_site_type_symbol
_atom_site_fract_x
_atom_site_fract_y
_atom_site_fract_z
F1 F 0.823 0.917 0.406
F2 F 0.000 0.000 0.000
F3 F 0.177 0.083 0.594
F4 F 0.767 0.703 0.853
F5 F 0.618 0.596 0.267
F6 F 0.233 0.297 0.147
F7 F 0.382 0.404 0.733
Mn1 Mn 0.063 0.062 0.798
Mn2 Mn 0.937 0.938 0.202
Li1 Li 0.500 0.500 0.500